1.
Crystalline Hg2OsCl6 at its relaxed geometry, computed with PBE.

Lattice parameters (Å, degrees): 6.0396 9.9839 9.9839 93.01 86.21 86.21
Last column: nearest neighbours and their distance in Å.
Atoms (fractional coordinates):
Hg  0.0769  0.5681  0.3341  1 Cl 2.39, 1 Hg 2.59
Hg  0.4231  0.6659  0.4319  1 Cl 2.39, 1 Hg 2.59
Hg  0.5769  0.3341  0.5681  1 Cl 2.39, 1 Hg 2.59
Hg  0.9231  0.4319  0.6659  1 Cl 2.39, 1 Hg 2.59
Cl  0.2330  0.5373  0.7523  1 Hg 2.39
Cl  0.9431  0.8443  0.9615  2 Os 2.39-2.42
Cl  0.9235  0.0693  0.7304  1 Os 2.27
Cl  0.4431  0.9615  0.8443  2 Os 2.39-2.42
Cl  0.7670  0.4627  0.2477  1 Hg 2.39
Cl  0.0765  0.9307  0.2696  1 Os 2.27
Cl  0.4235  0.7304  0.0693  1 Os 2.27
Cl  0.0569  0.1557  0.0385  2 Os 2.39-2.42
Cl  0.7330  0.7523  0.5373  1 Hg 2.39
Cl  0.2670  0.2477  0.4627  1 Hg 2.39
Cl  0.5765  0.2696  0.9307  1 Os 2.27
Cl  0.5569  0.0385  0.1557  2 Os 2.39-2.42
Os  0.7500  0.0613  0.9387  6 Cl 2.27-2.42
Os  0.2500  0.9387  0.0613  6 Cl 2.27-2.42

ρ ... 4.46 g cm⁻³
Total magnetization ... 2.0 μB per formula unit
Final energy ... -0.218 Ry per atom


2.
Crystalline NiAgCl2 at its relaxed geometry, computed with PBE.

Lattice parameters (Å, degrees): 4.7065 4.7065 4.7065 60.00 60.00 60.00
Last column: nearest neighbours and their distance in Å.
Atoms (fractional coordinates):
Cl  0.2500  0.2500  0.2500  4 Cl 2.88, 4 Ag 2.88
Cl  0.0000  0.0000  0.0000  4 Cl 2.88, 4 Ni 2.88
Ag  0.5000  0.5000  0.5000  4 Cl 2.88, 4 Ni 2.88
Ni  0.7500  0.7500  0.7500  4 Ag 2.88, 4 Cl 2.88

ρ ... 5.35 g cm⁻³
Total magnetization ... 1.1 μB per formula unit
Final energy ... -0.193 Ry per atom


> What is the formula in the first record?

Hg2OsCl6


What did the second record say?
Crystalline NiAgCl2 at its relaxed geometry, computed with PBE.

Lattice parameters (Å, degrees): 4.7065 4.7065 4.7065 60.00 60.00 60.00
Last column: nearest neighbours and their distance in Å.
Atoms (fractional coordinates):
Cl  0.2500  0.2500  0.2500  4 Cl 2.88, 4 Ag 2.88
Cl  0.0000  0.0000  0.0000  4 Cl 2.88, 4 Ni 2.88
Ag  0.5000  0.5000  0.5000  4 Cl 2.88, 4 Ni 2.88
Ni  0.7500  0.7500  0.7500  4 Ag 2.88, 4 Cl 2.88

ρ ... 5.35 g cm⁻³
Total magnetization ... 1.1 μB per formula unit
Final energy ... -0.193 Ry per atom


> Which value of ρ does entry 2 give?

5.35 g cm⁻³


> The lowest ρ belongs to which entry?

Hg2OsCl6